No. 1
The following is a DFT calculation (PBE-GGA) of TbThAl2 after structural relaxation.

abc: 3.647 3.647 9.518
angles: 78.96 78.96 60.00
Sites, in units of the cell vectors:
1 Tb 0.000 0.000 0.000
2 Al 0.748 0.748 0.756
3 Al 0.252 0.252 0.244
4 Th 0.500 0.500 0.500

Properties
energy relative to the lowest polymorph listed for this composition = 263 meV per atom
calculated total energy = -4.96 eV per atom
DOS at the Fermi energy = 4.19 states/eV/f.u.
crystal system = trigonal
formation enthalpy at 0 K = -0.08 eV/atom
total magnetic moment = 0.000 μB/atom


No. 2
The following is a DFT calculation (PBE-GGA) of Tb3ThAl8 after structural relaxation.

abc: 5.582 5.582 9.267
angles: 90.00 90.00 120.00
Sites, in units of the cell vectors:
1 Tb 0.667 0.333 0.431
2 Tb 0.667 0.333 0.066
3 Tb 0.000 0.000 0.932
4 Th 0.000 0.000 0.567
5 Al 0.333 0.667 0.497
6 Al 0.333 0.667 0.003
7 Al 0.504 0.007 0.752
8 Al 0.504 0.496 0.752
9 Al 0.993 0.496 0.752
10 Al 0.163 0.325 0.248
11 Al 0.163 0.837 0.248
12 Al 0.675 0.837 0.248

Properties
energy relative to the lowest polymorph listed for this composition = 13 meV per atom
calculated total energy = -4.75 eV per atom
DOS at the Fermi energy = 8.16 states/eV/f.u.
crystal system = trigonal
formation enthalpy at 0 K = -0.48 eV/atom
total magnetic moment = 0.000 μB/atom


No. 3
The following is a DFT calculation (PBE-GGA) of TbThAl2 after structural relaxation.

abc: 5.203 5.203 5.203
angles: 60.00 60.00 60.00
Sites, in units of the cell vectors:
1 Tb 0.000 0.000 0.000
2 Al 0.250 0.250 0.250
3 Al 0.750 0.750 0.750
4 Th 0.500 0.500 0.500

Properties
energy relative to the lowest polymorph listed for this composition = 63 meV per atom
calculated total energy = -5.16 eV per atom
DOS at the Fermi energy = 3.04 states/eV/f.u.
crystal system = cubic
formation enthalpy at 0 K = -0.28 eV/atom
total magnetic moment = 0.000 μB/atom